[1]
12
Lattice="5.806 0.000 0.000 2.903 7.550 1.118 2.903 4.248 5.754" Properties=species:S:1:pos:R:3 comment="RbPuI2O8 | the Alexandria database | GGA-PBE | optimized geometry" rho_g_cm3=5.26 final_energy_ha_per_atom=-0.2199 spacegroup=C2/m pbc="T T T"
O 2.903 5.377 2.165
O 4.200 3.687 4.540
O 8.709 6.421 4.708
O 4.200 8.111 2.332
O 5.806 3.922 1.208
O 5.806 7.876 5.664
O 7.412 3.687 4.540
O 7.412 8.111 2.332
Pu 0.000 0.000 0.000
Rb 5.806 5.899 3.436
I 8.709 8.218 5.122
I 2.903 3.580 1.751

---

[2]
20
Lattice="-4.121 -3.346 -5.431 -2.507 -2.227 6.814 -0.665 7.541 -0.602" Properties=species:S:1:pos:R:3 comment="Rb4Pu3IO12 | the Alexandria database | GGA-PBE | optimized geometry" rho_g_cm3=6.86 final_energy_ha_per_atom=-0.2730 spacegroup=Im-3m pbc="T T T"
O -0.879 1.472 1.721
O -4.792 -4.029 1.000
O -4.510 -1.738 -0.817
O -4.050 0.704 -2.671
O -1.836 -1.544 0.383
O -3.243 1.264 3.452
O -4.107 -1.458 2.245
O -1.326 1.162 -1.671
O -3.186 3.426 -1.463
O -2.783 3.706 1.598
O -2.294 3.842 4.492
O -3.460 3.033 -4.362
Rb -3.647 0.984 0.391
Rb -0.333 3.771 -0.301
Rb -2.060 -1.673 -2.716
Rb -1.254 -1.113 3.407
Pu -1.586 2.657 3.106
Pu -2.393 2.098 -3.016
Pu -3.314 -2.786 0.691
I 0.000 0.000 0.000

---

[3]
10
Lattice="5.958 0.000 0.001 0.000 5.959 0.001 2.980 2.980 5.252" Properties=species:S:1:pos:R:3 comment="Rb2PuIO6 | the Alexandria database | GGA-PBE | optimized geometry" rho_g_cm3=5.68 final_energy_ha_per_atom=-0.2368 spacegroup=I4/mmm pbc="T T T"
O 2.981 2.981 3.381
O 7.438 4.480 5.253
O 1.501 4.459 0.001
O 4.479 4.481 5.253
O 4.459 4.458 0.002
O 5.958 5.958 1.874
Rb 2.979 5.959 2.628
Rb 5.959 2.980 2.627
I 2.979 2.979 0.001
Pu 0.000 0.000 0.000

---

[4]
12
Lattice="-0.806 -1.420 -5.481 -3.140 -2.478 4.088 -5.804 6.139 -0.737" Properties=species:S:1:pos:R:3 comment="PuS2IO8 | the Alexandria database | GGA-PBE | optimized geometry" rho_g_cm3=3.89 final_energy_ha_per_atom=-0.2501 spacegroup=P-3m1 pbc="T T T"
O -2.067 -0.765 -3.744
O -3.395 -1.813 -2.015
O -5.987 1.709 0.438
O -7.683 3.006 1.614
O -8.024 2.405 -0.705
O -6.355 4.054 -0.116
O -3.764 0.533 -2.568
O -1.726 -0.164 -1.425
Pu 0.000 0.000 0.000
I -2.902 3.070 -0.368
S -2.779 -0.509 -2.443
S -6.971 2.750 0.313

---

[5]
14
Lattice="-4.320 -1.911 7.097 -7.008 -4.388 2.077 2.405 -5.859 1.603" Properties=species:S:1:pos:R:3 comment="SmPuIO4 | the Alexandria database | GGA-PBE | optimized geometry" rho_g_cm3=6.21 final_energy_ha_per_atom=-0.3030 spacegroup=C2/m pbc="T T T"
Sm -1.165 -6.739 3.949
Sm -7.758 -5.418 6.828
O -6.362 -9.985 6.650
O -2.561 -2.172 4.127
O -6.056 -7.012 6.703
O -2.867 -5.146 4.074
O -2.820 -8.003 5.459
O -6.103 -4.154 5.318
O -5.183 -8.899 8.851
O -3.739 -3.258 1.926
I -10.544 -7.760 9.475
I 1.621 -4.398 1.302
Pu -4.048 -3.670 3.979
Pu -4.874 -8.488 6.798

---

[6]
10
Lattice="-3.634 -1.498 1.769 3.861 -2.469 5.841 -2.299 7.653 1.760" Properties=species:S:1:pos:R:3 comment="SrPuIO2 | the Alexandria database | GGA-PBE | optimized geometry" rho_g_cm3=6.50 final_energy_ha_per_atom=-0.2955 spacegroup=P2_1/m pbc="T T T"
O 0.665 -0.492 3.576
O -0.486 3.054 4.215
O -2.737 4.178 5.794
O -1.585 0.632 5.155
Sr -0.477 5.061 5.934
Sr -1.595 -1.376 3.436
I -2.483 5.273 1.990
I 0.412 -1.587 7.380
Pu 0.614 1.200 4.904
Pu -2.685 2.486 4.466

---

[7]
12
Lattice="6.432 0.000 0.729 0.000 7.200 0.000 0.226 -3.600 6.301" Properties=species:S:1:pos:R:3 comment="Sr3PuI2O6 | the Alexandria database | GGA-PBE | optimized geometry" rho_g_cm3=4.89 final_energy_ha_per_atom=-0.2365 spacegroup=C2/m pbc="T T T"
Sr 3.329 -1.800 3.515
Sr 0.000 3.600 0.000
Sr 3.329 1.800 3.515
I 5.943 0.000 3.991
I 0.715 3.600 3.039
O 2.310 2.127 5.906
O 4.258 3.600 4.831
O 2.400 0.000 2.200
O 2.310 -2.127 5.906
O 4.348 1.473 1.125
O 4.348 5.727 1.125
Pu 3.216 0.000 0.365

---

[8]
10
Lattice="5.937 0.000 -0.005 0.000 5.937 -0.005 -2.973 -2.972 5.241" Properties=species:S:1:pos:R:3 comment="PuTl2IO6 | the Alexandria database | GGA-PBE | optimized geometry" rho_g_cm3=7.88 final_energy_ha_per_atom=-0.2322 spacegroup=Cm pbc="T T T"
O -0.005 -0.002 3.350
O 1.489 1.492 5.231
O -1.497 1.492 5.231
O 2.969 2.973 1.876
O -1.497 -1.494 5.232
O 1.489 -1.494 5.232
I 2.964 -2.969 5.234
Tl 2.966 0.001 2.620
Tl -0.002 2.969 2.620
Pu -0.004 -0.001 5.233

---

[9]
18
Lattice="-4.601 -1.405 -6.134 -5.083 -5.902 0.321 -7.621 1.557 0.516" Properties=species:S:1:pos:R:3 comment="Pu3Tl2IO12 | the Alexandria database | GGA-PBE | optimized geometry" rho_g_cm3=7.12 final_energy_ha_per_atom=-0.2884 spacegroup=R-3m pbc="T T T"
Tl -11.573 -3.845 -3.542
Tl -5.731 -1.904 -1.754
I 0.000 0.000 0.000
O -8.973 -3.060 0.248
O -8.332 -2.690 -5.545
O -4.004 -1.254 -4.155
O -7.059 -4.937 -3.966
O -8.668 -0.210 -3.842
O -5.876 0.582 -0.033
O -11.428 -6.332 -5.264
O -4.303 -4.041 -0.154
O -10.245 -0.813 -1.331
O -8.637 -5.540 -1.454
O -13.001 -1.709 -5.143
O -13.300 -4.496 -1.142
Pu -2.301 -0.703 -3.067
Pu -3.810 0.779 0.258
Pu -2.541 -2.951 0.160

---

[10]
12
Lattice="6.465 0.000 0.000 -3.232 5.599 0.000 0.000 0.000 7.650" Properties=species:S:1:pos:R:3 comment="PuTlI2O8 | the Alexandria database | GGA-PBE | optimized geometry" rho_g_cm3=4.98 final_energy_ha_per_atom=-0.2174 spacegroup=P-3m1 pbc="T T T"
O 1.491 0.861 1.269
O 3.232 1.866 3.136
O 1.742 4.738 6.382
O 3.232 3.877 1.269
O 4.974 0.861 1.269
O -1.742 4.738 6.382
O 0.000 3.732 4.514
O 0.000 1.721 6.382
I 0.000 3.732 6.295
I 3.232 1.866 1.356
Pu 0.000 0.000 0.000
Tl 0.000 0.000 3.825

---

[11]
15
Lattice="-4.248 1.465 4.036 5.547 -1.498 1.863 2.418 8.351 -0.485" Properties=species:S:1:pos:R:3 comment="Pu2Tl3IO9 | the Alexandria database | GGA-PBE | optimized geometry" rho_g_cm3=8.28 final_energy_ha_per_atom=-0.2540 spacegroup=P-3m1 pbc="T T T"
O 1.256 6.413 1.417
O 1.858 1.920 1.259
O -2.124 0.732 2.018
O 0.649 -0.017 2.949
O 2.461 1.905 3.997
O 2.773 -0.749 0.931
O -0.716 7.092 3.290
O 1.858 6.397 4.155
O 4.432 1.225 2.124
Tl 3.885 5.026 2.266
Tl 0.000 0.000 0.000
Tl -0.168 3.292 3.148
I 1.209 4.175 -0.243
Pu 2.619 0.653 2.520
Pu 1.098 7.665 2.894

---

[12]
20
Lattice="-2.317 6.737 2.168 -1.929 -1.121 -7.104 -3.160 -5.208 4.282" Properties=species:S:1:pos:R:3 comment="Pu3Tl4IO12 | the Alexandria database | GGA-PBE | optimized geometry" rho_g_cm3=9.76 final_energy_ha_per_atom=-0.2705 spacegroup=Im-3m pbc="T T T"
O -3.606 -1.761 -2.645
O -1.255 -1.561 -0.696
O -3.492 3.190 -0.856
O -3.914 -2.783 0.201
O -3.199 4.231 -3.719
O -3.396 1.225 -3.174
O -4.127 1.152 4.859
O -1.350 0.377 1.590
O -4.011 -0.818 2.519
O -3.800 2.168 1.991
O -1.047 1.384 -1.217
O -3.835 -4.769 -2.126
Tl -0.965 -0.561 -3.552
Tl -3.703 0.203 -0.327
Tl -1.580 -2.604 2.141
Tl -1.159 3.368 1.084
Pu -2.123 2.808 -2.468
Pu -2.545 -3.165 -1.411
Pu -2.739 0.764 3.225
I 0.000 0.000 0.000

---

[13]
9
Lattice="-3.561 5.745 -5.515 -4.137 -5.392 3.954 -6.062 1.963 5.959" Properties=species:S:1:pos:R:3 comment="Rb4IO4 | the Alexandria database | GGA-PBE | optimized geometry" rho_g_cm3=2.38 final_energy_ha_per_atom=-0.1312 spacegroup=I-42m pbc="T T T"
Rb -5.054 3.735 -2.975
Rb -6.225 1.965 2.396
Rb -5.868 -2.338 4.583
Rb -10.372 1.270 4.791
O -7.410 0.601 0.381
O -8.945 5.903 -0.004
O -1.931 0.285 -0.327
O -9.232 -2.156 8.744
I -6.062 1.963 5.959

---

[14]
12
Lattice="-2.027 0.851 -5.127 -1.036 -5.606 -0.521 -12.894 4.759 5.887" Properties=species:S:1:pos:R:3 comment="Rb7I3O2 | the Alexandria database | GGA-PBE | optimized geometry" rho_g_cm3=3.58 final_energy_ha_per_atom=-0.1106 spacegroup=Cmmm pbc="T T T"
Rb -5.059 0.738 2.122
Rb -3.603 0.803 -1.477
Rb -3.091 -2.428 0.819
Rb -8.871 -1.584 3.244
Rb 0.000 0.000 0.000
Rb -12.355 -0.799 1.716
Rb -10.840 1.581 4.547
O -2.625 0.383 1.101
O -11.306 -1.229 4.265
I -9.438 1.655 0.971
I -6.519 -1.650 -0.732
I -1.532 -2.377 -2.824

---

[15]
14
Lattice="-3.668 4.668 -3.321 1.330 -3.018 -5.712 -4.432 -6.444 2.373" Properties=species:S:1:pos:R:3 comment="Rb2IO4 | the Alexandria database | GGA-PBE | optimized geometry" rho_g_cm3=3.56 final_energy_ha_per_atom=-0.1567 spacegroup=P2_1/m pbc="T T T"
O -1.869 -1.422 -3.778
O -5.467 -2.090 -0.454
O -3.023 2.675 -4.022
O -0.761 -4.135 -3.705
O -4.901 -3.373 -2.882
O -3.747 -7.469 -2.638
O -1.304 -2.705 -6.206
O -6.010 -0.660 -2.955
I -0.547 -2.431 -4.555
I -6.223 -2.363 -2.105
Rb -2.354 -2.640 -1.058
Rb -4.416 -2.154 -5.602
Rb -1.404 0.589 -6.350
Rb -5.366 -5.383 -0.309

---

[16]
14
Lattice="8.257 0.000 0.000 -4.129 7.151 0.000 0.000 0.000 10.813" Properties=species:S:1:pos:R:3 comment="Rb9I3O2 | the Alexandria database | GGA-PBE | optimized geometry" rho_g_cm3=3.07 final_energy_ha_per_atom=-0.0987 spacegroup=P-3m1 pbc="T T T"
Rb 2.064 3.575 0.000
Rb 1.945 5.890 7.547
Rb -2.064 3.575 0.000
Rb -1.945 5.890 7.547
Rb 4.129 0.000 0.000
Rb 2.184 1.261 3.267
Rb 4.129 4.629 3.267
Rb 6.073 1.261 3.267
Rb 0.000 2.522 7.547
O 4.129 2.384 1.766
O 0.000 4.767 9.047
I 0.000 0.000 0.000
I 0.000 4.767 3.008
I 4.129 2.384 7.806

---

[17]
7
Lattice="4.374 0.000 -0.876 -0.372 6.832 -1.859 -0.422 -0.502 9.253" Properties=species:S:1:pos:R:3 comment="Rb4IO2 | the Alexandria database | GGA-PBE | optimized geometry" rho_g_cm3=3.08 final_energy_ha_per_atom=-0.1189 spacegroup=C2/m pbc="T T T"
I 2.001 3.416 -1.367
Rb 1.188 -0.293 5.935
Rb 0.402 3.395 2.010
Rb 3.177 2.936 4.509
Rb 2.391 6.623 0.584
O 2.823 4.984 2.742
O 0.756 1.346 3.777

---

[18]
18
Lattice="-4.732 4.121 1.605 -3.318 -2.515 -4.962 -3.484 -6.115 5.429" Properties=species:S:1:pos:R:3 comment="Rb3IO5 | the Alexandria database | GGA-PBE | optimized geometry" rho_g_cm3=4.13 final_energy_ha_per_atom=-0.1605 spacegroup=Cmcm pbc="T T T"
O -2.676 -2.437 -0.824
O -9.967 -4.380 2.279
O -2.857 -2.393 1.803
O -3.241 0.213 1.798
O -6.857 -3.739 2.302
O -8.858 -2.072 2.897
O -4.677 -0.769 -0.230
O -8.677 -2.116 0.269
O -1.567 -0.129 -0.207
O -8.293 -4.722 0.274
I -2.991 -1.106 0.473
I -8.542 -3.403 1.599
Rb -4.347 -4.240 3.349
Rb -6.102 -0.684 2.590
Rb -7.187 -0.269 -1.276
Rb -4.360 2.373 -0.125
Rb -5.432 -3.825 -0.518
Rb -3.690 -0.767 -3.232